{
  "formula": "SrHfBr6",
  "functional": "PBE",
  "state": "relaxed",
  "rho_g_cm3": 3.97,
  "magnetic_moment_mub_per_fu": 0.00,
  "raw_formation_energy_kj_per_mol_atoms": -158.6,
  "lattice_angstrom": [[3.5867, -6.4222, 0.0000], [3.5867, 6.4222, 0.0000], [-1.9796, 0.0000, 6.7613]],
  "species": ["Sr", "Hf", "Br", "Br", "Br", "Br", "Br", "Br"],
  "frac_coords": [[0.0000, 0.0000, 0.0000], [0.5000, 0.5000, 0.5000], [0.1454, 0.4383, 0.2754], [0.2600, 0.2600, 0.7184], [0.4383, 0.1454, 0.2754], [0.5617, 0.8546, 0.7246], [0.7400, 0.7400, 0.2816], [0.8546, 0.5617, 0.7246]]
}